[1]
Li2Fe2Pd after structural relaxation. Source: Alexandria via LeMat-Bulk, functional PBE-GGA.

Values from the calculation:
space group = P4/mbm (127)
V = 12.69 Å³/atom
DOS(E_F) = 2.8 states/eV/f.u.
E_form = 0.30 eV/atom

a = 6.8098 Å, b = 6.8098 Å, c = 2.7359 Å
α = 90.00°, β = 90.00°, γ = 90.00°
Each line ends with the local moment (μB).
Sites, in units of the cell vectors:
Fe (0.6247, 0.8753, 0.5000)  2.71
Fe (0.3753, 0.1247, 0.5000)  2.71
Fe (0.8753, 0.3753, 0.5000)  2.74
Fe (0.1247, 0.6247, 0.5000)  2.74
Pd (0.5000, 0.5000, 0.0000)  0.22
Pd (0.0000, 0.0000, 0.0000)  0.22
Li (0.1715, 0.3285, 0.0000)  -0.06
Li (0.8285, 0.6715, 0.0000)  -0.06
Li (0.6715, 0.1715, 0.0000)  -0.06
Li (0.3285, 0.8285, 0.0000)  -0.06



[2]
Sm2SnPd6 after structural relaxation. Source: Alexandria via LeMat-Bulk, functional PBE-GGA.

Values from the calculation:
space group = P-3m1 (164)
V = 19.65 Å³/atom
DOS(E_F) = 3.6 states/eV/f.u.
E_form = -0.74 eV/atom

a = 5.7961 Å, b = 5.7940 Å, c = 6.0808 Å
α = 90.04°, β = 90.00°, γ = 120.01°
Sites, in units of the cell vectors:
Pd (0.6489, 0.8246, 0.3206)
Pd (0.8243, 0.1754, 0.6794)
Pd (0.3511, 0.1754, 0.6794)
Pd (0.1755, 0.3511, 0.3212)
Pd (0.8245, 0.6489, 0.6788)
Pd (0.1757, 0.8246, 0.3206)
Sn (0.0000, 0.0000, 0.0000)
Sm (0.3333, 0.6667, 0.8152)
Sm (0.6667, 0.3333, 0.1848)



[3]
Cs2AlTeCl6 after structural relaxation. Source: Alexandria via LeMat-Bulk, functional PBE-GGA.

Values from the calculation:
space group = I4/mmm (139)
V = 34.27 Å³/atom
ΔE_f (raw) = -1294 kJ/mol of formula units
DOS(E_F) = 3.4 states/eV/f.u.

a = 8.1463 Å, b = 8.1463 Å, c = 7.7365 Å
α = 58.23°, β = 58.23°, γ = 90.00°
Each line ends with the local moment (μB).
Sites, in units of the cell vectors:
Cl (0.3016, 0.3016, 0.0000)  0.02
Cl (0.7491, 0.7491, 0.5019)  0.03
Cl (0.6984, 0.6984, 0.0000)  0.02
Cl (0.3016, 0.6984, 0.0000)  0.02
Cl (0.6984, 0.3016, 0.0000)  0.02
Cl (0.2509, 0.2509, 0.4981)  0.03
Cs (0.7500, 0.2500, 0.5000)  0.00
Cs (0.2500, 0.7500, 0.5000)  0.00
Te (0.0000, 0.0000, 0.0000)  0.44
Al (0.5000, 0.5000, 0.0000)  0.00